The following is a DFT calculation (PBE) of a geometry-optimized SrMg2Pt structure.

Summary:
ΔH_f (0 K) ... -464 meV per atom
SG ... No. 12

Unit cell a=7.9361 b=4.5682 c=6.3396 alpha=90.00 beta=114.42 gamma=90.00
With the nearest neighbours (Å) after each atom.
Atoms (fractional coordinates):
Sr  0.0000  0.0000  0.0000  8 Mg 3.48-3.50
Sr  0.5000  0.5000  0.0000  8 Mg 3.48-3.50
Mg  0.2022  0.0000  0.6069  3 Pt 2.71, 3 Mg 2.91-2.92
Mg  0.2978  0.5000  0.3931  3 Pt 2.71, 3 Mg 2.91-2.92
Mg  0.7022  0.5000  0.6069  3 Pt 2.71, 3 Mg 2.91-2.92
Mg  0.7978  0.0000  0.3931  3 Pt 2.71, 3 Mg 2.91-2.92
Pt  0.0000  0.5000  0.5000  6 Mg 2.71
Pt  0.5000  0.0000  0.5000  6 Mg 2.71